An optimized crystal structure of CaPm2GeN4, computed with PBE-GGA.

a = 6.278 Å, b = 6.278 Å, c = 12.108 Å
α = 90.00°, β = 90.00°, γ = 147.94°
Positions (direct):
Ca (0.101, 0.899, 0.750)
Ca (0.899, 0.101, 0.250)
Pm (0.370, 0.630, 0.539)
Pm (0.370, 0.630, 0.961)
Pm (0.630, 0.370, 0.039)
Pm (0.630, 0.370, 0.461)
Ge (0.175, 0.825, 0.250)
Ge (0.825, 0.175, 0.750)
N (0.000, 0.000, 0.000)
N (0.000, 0.000, 0.500)
N (0.265, 0.735, 0.127)
N (0.265, 0.735, 0.373)
N (0.419, 0.581, 0.750)
N (0.581, 0.419, 0.250)
N (0.735, 0.265, 0.627)
N (0.735, 0.265, 0.873)

Summary:
- Energy relative to the elements, uncorrected: -7.1 eV/f.u.
- Magnetic moment: 0.000 μB/cell
- Volume: 15.8 Å³/atom
- Uncorrected energy: -113.10 eV per cell
- Crystal system: orthorhombic
- Space group: Cmcm